P) Here is Mn3RhC after structural relaxation from Alexandria. Energies are from PBE-GGA.

Output
- crystal system = cubic

Cell: 3.776 3.776 3.776 Å, 90.00 90.00 90.00°
Positions (direct):
C 0.000 0.000 0.000
Rh 0.500 0.500 0.500
Mn 0.000 0.000 0.500
Mn 0.500 0.000 0.000
Mn 0.000 0.500 0.000


Q) Here is Mn3RhC after structural relaxation from Alexandria. Energies are from PBE-GGA.

Output
- crystal system = cubic

Cell: 4.786 4.786 4.786 Å, 90.00 90.00 90.00°
Each line ends with the local moment (μB).
Positions (direct):
C 0.500 0.500 0.500  -0.70
Mn 0.000 0.500 0.000  4.14
Mn 0.500 0.000 0.000  4.22
Rh 0.000 0.000 0.000  0.49
Mn 0.000 0.000 0.500  4.15


Energies relative to the most stable structure are P) 0.000; Q) 1.969, reported in eV/atom.


P) Here is Y2MnRuC after structural relaxation from Alexandria. Energies are from PBE-GGA.

Output
- crystal system = tetragonal

Cell: 4.910 4.910 3.707 Å, 90.00 90.00 90.00°
Each line ends with the local moment (μB).
Positions (direct):
Y 0.500 0.000 0.000  -0.04
Mn 0.000 0.000 0.500  1.76
C 0.000 0.000 0.000  -0.10
Ru 0.500 0.500 0.500  -0.09
Y 0.000 0.500 0.000  -0.04


Q) Here is Y2MnRuC after structural relaxation from Alexandria. Energies are from PBE-GGA.

Output
- crystal system = tetragonal

Cell: 4.982 4.982 3.901 Å, 90.00 90.00 90.00°
Each line ends with the local moment (μB).
Positions (direct):
Ru 0.000 0.000 0.500  0.18
Y 0.000 0.500 0.000  -0.06
Y 0.500 0.000 0.000  -0.06
Mn 0.500 0.500 0.500  3.92
C 0.000 0.000 0.000  0.03


Energies relative to the most stable structure are P) 0.006; Q) 0.000, reported in eV/atom.


P) Here is MnC3S after structural relaxation from Alexandria. Energies are from PBE-GGA.

Output
- crystal system = cubic

Cell: 3.543 3.543 3.543 Å, 90.00 90.00 90.00°
Each line ends with the local moment (μB).
Positions (direct):
S 0.000 0.000 0.000  0.02
Mn 0.500 0.500 0.500  0.23
C 0.000 0.500 0.000  -0.04
C 0.500 0.000 0.000  -0.02
C 0.000 0.000 0.500  -0.02


Q) Here is MnC3S after structural relaxation from Alexandria. Energies are from PBE-GGA.

Output
- crystal system = cubic

Cell: 3.822 3.822 3.822 Å, 90.00 90.00 90.00°
Each line ends with the local moment (μB).
Positions (direct):
C 0.000 0.500 0.000  -0.08
Mn 0.000 0.000 0.000  0.90
C 0.500 0.000 0.000  -0.09
S 0.500 0.500 0.500  0.38
C 0.000 0.000 0.500  -0.08


Energies relative to the most stable structure are P) 0.474; Q) 0.000, reported in eV/atom.


P) Here is Sc3MnC after structural relaxation from Alexandria. Energies are from PBE-GGA.

Output
- crystal system = cubic

Cell: 4.641 4.641 4.641 Å, 90.00 90.00 90.00°
Positions (direct):
Sc 0.500 0.000 0.000
Mn 0.000 0.000 0.000
C 0.500 0.500 0.500
Sc 0.000 0.000 0.500
Sc 0.000 0.500 0.000


Q) Here is Sc3MnC after structural relaxation from Alexandria. Energies are from PBE-GGA.

Output
- crystal system = cubic

Cell: 4.448 4.448 4.448 Å, 90.00 90.00 90.00°
Positions (direct):
Sc 0.000 0.000 0.500
Mn 0.500 0.500 0.500
C 0.000 0.000 0.000
Sc 0.500 0.000 0.000
Sc 0.000 0.500 0.000


Energies relative to the most stable structure are P) 1.088; Q) 0.000, reported in eV/atom.


P) Here is Sc2MnC2 after structural relaxation from Alexandria. Energies are from PBE-GGA.

Output
- crystal system = monoclinic

Cell: 4.683 5.669 6.237 Å, 116.08 90.00 114.40°
Positions (direct):
Sc 0.968 0.937 0.228
Sc 0.677 0.354 0.612
C 0.818 0.635 0.390
Mn 0.366 0.732 0.871
Sc 0.323 0.646 0.388
C 0.514 0.028 0.781
C 0.486 0.972 0.219
Sc 0.032 0.063 0.772
C 0.182 0.365 0.610
Mn 0.634 0.268 0.129


Q) Here is Sc2MnC2 after structural relaxation from Alexandria. Energies are from PBE-GGA.

Output
- crystal system = tetragonal

Cell: 5.750 5.750 3.336 Å, 90.00 90.00 90.00°
Positions (direct):
C 0.597 0.097 0.000
C 0.903 0.597 0.000
C 0.097 0.403 0.000
Sc 0.687 0.813 0.500
Mn 0.000 0.000 0.000
Mn 0.500 0.500 0.000
Sc 0.313 0.187 0.500
C 0.403 0.903 0.000
Sc 0.187 0.687 0.500
Sc 0.813 0.313 0.500


Energies relative to the most stable structure are P) 0.000; Q) 0.139, reported in eV/atom.


P) Here is ScMn2C2 after structural relaxation from Alexandria. Energies are from PBE-GGA.

Output
- crystal system = monoclinic

Cell: 5.088 5.088 5.179 Å, 110.27 110.27 103.89°
Positions (direct):
Mn 0.473 0.235 0.973
C 0.820 0.180 0.250
Mn 0.527 0.765 0.027
C 0.579 0.421 0.750
C 0.421 0.579 0.250
Sc 0.875 0.125 0.750
Sc 0.125 0.875 0.250
C 0.180 0.820 0.750
Mn 0.235 0.473 0.473
Mn 0.765 0.527 0.527


Q) Here is ScMn2C2 after structural relaxation from Alexandria. Energies are from PBE-GGA.

Output
- crystal system = tetragonal

Cell: 3.734 3.734 4.629 Å, 66.22 66.22 90.00°
Each line ends with the local moment (μB).
Positions (direct):
C 0.250 0.750 0.500  -0.07
C 0.750 0.250 0.500  -0.07
Sc 0.000 0.000 0.000  -0.03
Mn 0.658 0.658 0.684  1.64
Mn 0.342 0.342 0.316  1.64


Energies relative to the most stable structure are P) 0.000; Q) 0.422, reported in eV/atom.